First-principles (PBE-GGA) data for a relaxed structure of Mg2TeIr, as listed in Alexandria.

```
data_Mg2TeIr
_cell_length_a 6.716
_cell_length_b 6.716
_cell_length_c 6.716
_cell_angle_alpha 90.00
_cell_angle_beta 90.00
_cell_angle_gamma 90.00
_space_group_name_H-M_alt 'P 1'
_space_group_IT_number 1
loop_
_space_group_symop_operation_xyz
'x,y,z'
loop_
_atom_site_label
_atom_site_fract_x
_atom_site_fract_y
_atom_site_fract_z
Mg1 0.000 0.000 0.000
Mg2 0.000 0.500 0.500
Mg3 0.250 0.250 0.250
Mg4 0.250 0.750 0.750
Mg5 0.500 0.000 0.500
Mg6 0.500 0.500 0.000
Mg7 0.750 0.250 0.750
Mg8 0.750 0.750 0.250
Te1 0.000 0.000 0.500
Te2 0.000 0.500 0.000
Te3 0.500 0.000 0.000
Te4 0.500 0.500 0.500
Ir1 0.250 0.250 0.750
Ir2 0.250 0.750 0.250
Ir3 0.750 0.250 0.250
Ir4 0.750 0.750 0.750
```

Summary:
- SG = F-43m, No. 216
- energy (eV per atom) = -3.838



First-principles (PBE-GGA) data for a relaxed structure of MgTe2Ir, as listed in Alexandria.

```
data_MgTe2Ir
_cell_length_a 7.032
_cell_length_b 7.032
_cell_length_c 7.032
_cell_angle_alpha 90.00
_cell_angle_beta 90.00
_cell_angle_gamma 90.00
_space_group_name_H-M_alt 'P 1'
_space_group_IT_number 1
loop_
_space_group_symop_operation_xyz
'x,y,z'
loop_
_atom_site_label
_atom_site_fract_x
_atom_site_fract_y
_atom_site_fract_z
Mg1 0.000 0.000 0.000
Mg2 0.000 0.500 0.500
Mg3 0.500 0.000 0.500
Mg4 0.500 0.500 0.000
Te1 0.000 0.000 0.500
Te2 0.000 0.500 0.000
Te3 0.250 0.250 0.250
Te4 0.250 0.750 0.750
Te5 0.500 0.000 0.000
Te6 0.500 0.500 0.500
Te7 0.750 0.250 0.750
Te8 0.750 0.750 0.250
Ir1 0.250 0.250 0.750
Ir2 0.250 0.750 0.250
Ir3 0.750 0.250 0.250
Ir4 0.750 0.750 0.750
```

Summary:
- SG = F-43m, No. 216
- energy (eV per atom) = -3.748



First-principles (PBE-GGA) data for a relaxed structure of Mg2TeIr, as listed in Alexandria.

```
data_Mg2TeIr
_cell_length_a 3.293
_cell_length_b 3.293
_cell_length_c 26.209
_cell_angle_alpha 90.00
_cell_angle_beta 90.00
_cell_angle_gamma 120.00
_space_group_name_H-M_alt 'P 1'
_space_group_IT_number 1
loop_
_space_group_symop_operation_xyz
'x,y,z'
loop_
_atom_site_label
_atom_site_fract_x
_atom_site_fract_y
_atom_site_fract_z
Mg1 0.000 0.000 0.238
Mg2 0.000 0.000 0.762
Mg3 0.333 0.667 0.429
Mg4 0.333 0.667 0.905
Mg5 0.667 0.333 0.095
Mg6 0.667 0.333 0.571
Te1 0.000 0.000 0.000
Te2 0.333 0.667 0.667
Te3 0.667 0.333 0.333
Ir1 0.000 0.000 0.500
Ir2 0.333 0.667 0.167
Ir3 0.667 0.333 0.833
```

Summary:
- SG = R-3m, No. 166
- energy (eV per atom) = -3.858